(1)
Compound: KAl2Sn2
Source: Alexandria via LeMat-Bulk
Functional: GGA-PBE
Structure: optimized geometry

a b c (Å): 8.673 8.673 3.381
angles (deg): 90.00 90.00 90.00
Atoms (fractional coordinates):
1 K 0.000 0.000 0.000
2 K 0.500 0.500 0.000
3 Sn 0.159 0.659 0.500
4 Sn 0.659 0.841 0.500
5 Sn 0.841 0.341 0.500
6 Sn 0.341 0.159 0.500
7 Al 0.373 0.873 0.000
8 Al 0.873 0.627 0.000
9 Al 0.627 0.127 0.000
10 Al 0.127 0.373 0.000

DFT formation energy: 57 meV per atom
Electronic total energy: -3.261 eV/atom
Theoretical density: 4.3 g/cm³


(2)
Compound: KAlSn
Source: Alexandria via LeMat-Bulk
Functional: GGA-PBE
Structure: optimized geometry

a b c (Å): 11.892 11.892 11.892
angles (deg): 22.41 22.41 22.41
Atoms (fractional coordinates):
1 K 0.573 0.573 0.573
2 K 0.427 0.427 0.427
3 Sn 0.682 0.682 0.682
4 Sn 0.318 0.318 0.318
5 Al 0.167 0.167 0.167
6 Al 0.833 0.833 0.833

DFT formation energy: 39 meV per atom
Electronic total energy: -2.908 eV/atom
Theoretical density: 2.9 g/cm³


(3)
Compound: KAlSn
Source: Alexandria via LeMat-Bulk
Functional: GGA-PBE
Structure: optimized geometry

a b c (Å): 6.695 6.710 4.632
angles (deg): 105.26 110.09 84.51
Atoms (fractional coordinates):
1 K 0.276 0.000 0.140
2 K 0.724 0.000 0.860
3 Sn 0.999 0.648 0.315
4 Sn 0.001 0.352 0.685
5 Al 0.595 0.500 0.298
6 Al 0.405 0.500 0.702

DFT formation energy: 15 meV per atom
Electronic total energy: -2.932 eV/atom
Theoretical density: 3.3 g/cm³


(4)
Compound: KAlSn
Source: Alexandria via LeMat-Bulk
Functional: GGA-PBE
Structure: optimized geometry

a b c (Å): 4.605 7.197 6.400
angles (deg): 84.88 72.26 106.46
Atoms (fractional coordinates):
1 K 0.773 0.852 0.788
2 K 0.227 0.148 0.212
3 Sn 0.445 0.688 0.382
4 Sn 0.555 0.312 0.618
5 Al 0.036 0.446 0.801
6 Al 0.964 0.554 0.199

DFT formation energy: -99 meV per atom
Electronic total energy: -3.047 eV/atom
Theoretical density: 3.2 g/cm³


(5)
Compound: KAlSn
Source: Alexandria via LeMat-Bulk
Functional: GGA-PBE
Structure: optimized geometry

a b c (Å): 4.662 7.319 6.502
angles (deg): 74.18 71.68 69.85
Atoms (fractional coordinates):
1 K 0.935 0.757 0.145
2 K 0.766 0.468 0.735
3 Al 0.650 0.259 0.326
4 Al 0.256 0.193 0.162
5 Sn 0.128 0.900 0.550
6 Sn 0.440 0.076 0.750

DFT formation energy: -70 meV per atom
Electronic total energy: -3.017 eV/atom
Theoretical density: 3.2 g/cm³


(6)
Compound: KAl3Sn
Source: Alexandria via LeMat-Bulk
Functional: GGA-PBE
Structure: optimized geometry

a b c (Å): 5.611 5.611 5.611
angles (deg): 90.00 90.00 90.00
Atoms (fractional coordinates):
1 K 0.000 0.000 0.000
2 Sn 0.500 0.500 0.500
3 Al 0.000 0.500 0.000
4 Al 0.000 0.000 0.500
5 Al 0.500 0.000 0.000

DFT formation energy: 1433 meV per atom
Electronic total energy: -1.833 eV/atom
Theoretical density: 2.2 g/cm³


(7)
Compound: KAl2TcSn
Source: Alexandria via LeMat-Bulk
Functional: GGA-PBE
Structure: optimized geometry

a b c (Å): 4.934 4.934 5.139
angles (deg): 90.00 90.00 90.00
Atoms (fractional coordinates):
1 K 0.500 0.500 0.500
2 Al 0.000 0.500 0.000
3 Al 0.500 0.000 0.000
4 Sn 0.000 0.000 0.500
5 Tc 0.000 0.000 0.000

DFT formation energy: -86 meV per atom
Electronic total energy: -4.677 eV/atom
Theoretical density: 4.1 g/cm³


(8)
Compound: K2AlSnTe4
Source: Alexandria via LeMat-Bulk
Functional: GGA-PBE
Structure: optimized geometry

a b c (Å): 7.109 8.487 12.492
angles (deg): 83.16 73.47 65.24
Atoms (fractional coordinates):
1 K 0.185 0.000 0.631
2 K 0.815 0.000 0.369
3 K 0.565 0.500 0.869
4 K 0.935 0.500 0.131
5 Al 0.750 0.500 0.500
6 Al 0.000 0.000 0.000
7 Sn 0.250 0.500 0.500
8 Sn 0.500 0.000 0.000
9 Te 0.261 0.792 0.120
10 Te 0.173 0.208 0.880
11 Te 0.947 0.792 0.880
12 Te 0.619 0.208 0.120
13 Te 0.489 0.708 0.380
14 Te 0.577 0.292 0.620
15 Te 0.803 0.708 0.620
16 Te 0.131 0.292 0.380

Electronic total energy: -3.430 eV/atom
Theoretical density: 3.7 g/cm³
Formation energy from raw total energies: -0.62 eV per atom


(9)
Compound: KAl2TlSn
Source: Alexandria via LeMat-Bulk
Functional: GGA-PBE
Structure: optimized geometry

a b c (Å): 5.803 5.803 6.033
angles (deg): 90.00 90.00 90.00
Atoms (fractional coordinates):
1 K 0.000 0.000 0.000
2 Tl 0.500 0.500 0.500
3 Sn 0.000 0.000 0.500
4 Al 0.000 0.500 0.000
5 Al 0.500 0.000 0.000

DFT formation energy: 1185 meV per atom
Electronic total energy: -1.806 eV/atom
Theoretical density: 3.4 g/cm³


(10)
Compound: KAlTl2Sn
Source: Alexandria via LeMat-Bulk
Functional: GGA-PBE
Structure: optimized geometry

a b c (Å): 5.576 5.434 5.576
angles (deg): 90.00 90.00 90.00
Atoms (fractional coordinates):
1 K 0.500 0.500 0.500
2 Tl 0.000 0.000 0.500
3 Tl 0.500 0.000 0.000
4 Sn 0.000 0.500 0.000
5 Al 0.000 0.000 0.000

DFT formation energy: 102 meV per atom
Electronic total energy: -2.613 eV/atom
Theoretical density: 5.8 g/cm³


| no. | volume (Å³/atom) | magnetic moment (μB/f.u.) |
| --- | --- | --- |
| 1 | 25.4 | 0.0 |
| 2 | 35.7 | 0.0 |
| 3 | 31.4 | 0.0 |
| 4 | 31.7 | 0.0 |
| 5 | 32.4 | 0.0 |
| 6 | 35.3 | 0.0 |
| 7 | 25.0 | 0.0 |
| 8 | 41.0 | 0.0 |
| 9 | 40.6 | 0.0 |
| 10 | 33.8 | 0.0 |